RbAuI3: relaxed, PBE-GGA.

POSCAR file:
```
RbAuI3
1.0
5.384 0.000 0.000
2.558 8.380 0.000
0.752 3.686 10.473
Rb Au I
2 2 6
Cartesian
0.000 0.000 0.000
1.559 4.363 4.442
3.333 7.342 7.368
2.858 2.946 1.180
1.979 7.556 9.871
3.139 9.974 7.076
4.243 7.111 4.774
3.646 4.701 7.656
5.127 6.484 1.843
4.320 2.015 3.087
```

Computed properties:
Uncorrected energy, eV for the cell shown: -24.0
Crystal system: triclinic
Formation energy from raw total energies, eV per atom: -0.626
N(E_F), states/eV per cell: 0.0